Ta2W2F, relaxed, DFT PBE+U; space group = P4/mbm, No. 127; DOS(E_F) = 7.231 states/eV per cell; uncorrected energy = -71.40 eV/cell; magnetization = 0.220 μB per atom
1.0
7.364 0.000 0.000
0.000 7.364 0.000
0.000 0.000 3.444
Ta W F
4 4 2
direct
0.139 0.361 0.000
0.361 0.861 0.000
0.639 0.139 0.000
0.861 0.639 0.000
0.152 0.652 0.500
0.348 0.152 0.500
0.652 0.848 0.500
0.848 0.348 0.500
0.000 0.000 0.500
0.500 0.500 0.500